# 1
An optimized crystal structure of SmInS. Source: Alexandria via LeMat-Bulk, functional PBE. Values from VASP.

Summary:
For the magnetic moment, the calculation gives 0.0 μB/cell. For the formation energy (no corrections), the calculation gives -89 kJ/mol of atoms. As for the space-group type: Amm2.

```
&SYSTEM
  ibrav = 0, nat = 6, ntyp = 3
/
ATOMIC_SPECIES
In 114.82 In.upf
Sm 150.36 Sm.upf
S 32.06 S.upf
CELL_PARAMETERS angstrom
-2.196 0.354 3.214
1.325 -3.504 -1.085
10.759 1.855 7.145
ATOMIC_POSITIONS crystal
In 0.596 0.192 0.000
In 0.281 0.561 0.500
Sm 0.614 0.229 0.306
Sm 0.614 0.229 0.694
S 0.281 0.561 0.814
S 0.281 0.561 0.186
```

---

# 2
An optimized crystal structure of SmInS3. Source: Alexandria via LeMat-Bulk, functional PBE. Values from VASP.

Summary:
For the magnetic moment, the calculation gives 0.0 μB/cell. For the formation energy (no corrections), the calculation gives -116 kJ/mol of atoms. The value obtained for the energy above the lowest structure with this stoichiometry is 98.3 meV per atom. As for the space-group type: C2/m.

```
&SYSTEM
  ibrav = 0, nat = 10, ntyp = 3
/
ATOMIC_SPECIES
Sm 150.36 Sm.upf
In 114.82 In.upf
S 32.06 S.upf
CELL_PARAMETERS angstrom
-3.188 -2.049 -0.227
5.652 -5.259 -0.174
-0.918 0.520 8.210
ATOMIC_POSITIONS crystal
Sm 0.310 0.620 0.259
Sm 0.690 0.380 0.741
In 0.432 0.863 0.719
In 0.568 0.137 0.281
S 0.952 0.904 0.197
S 0.048 0.096 0.803
S 0.689 0.378 0.105
S 0.311 0.622 0.895
S 0.838 0.676 0.535
S 0.162 0.324 0.465
```